Record 1
PmMn4N6: optimized geometry, PBE.

Cell: 5.0852 5.0852 14.9638 Å, 90.00 90.00 145.43°
With the nearest neighbours (Å) after each atom.
Sites, in units of the cell vectors:
Pm: 0.1597 0.8403 0.7500  6 N 2.38-2.45
Pm: 0.8403 0.1597 0.2500  6 N 2.38-2.45
Mn: 0.0920 0.9080 0.1301  3 N 1.88-1.97
Mn: 0.0920 0.9080 0.3699  3 N 1.88-1.97
Mn: 0.3636 0.6364 0.0430  6 N 1.90-2.11
Mn: 0.3636 0.6364 0.4570  6 N 1.90-2.11
Mn: 0.6364 0.3636 0.5430  6 N 1.90-2.11
Mn: 0.6364 0.3636 0.9570  6 N 1.90-2.11
Mn: 0.9080 0.0920 0.6301  3 N 1.88-1.97
Mn: 0.9080 0.0920 0.8699  3 N 1.88-1.97
N: 0.0000 0.0000 0.0000  6 Mn 2.11-2.14
N: 0.0000 0.0000 0.5000  6 Mn 2.11-2.14
N: 0.1512 0.8488 0.2500  2 Mn 1.88
N: 0.2691 0.7309 0.5810  5 Mn 2.07-2.15
N: 0.2691 0.7309 0.9190  5 Mn 2.07-2.15
N: 0.4666 0.5334 0.1511  3 Mn 1.90-1.97
N: 0.4666 0.5334 0.3489  3 Mn 1.90-1.97
N: 0.5334 0.4666 0.6511  3 Mn 1.90-1.97
N: 0.5334 0.4666 0.8489  3 Mn 1.90-1.97
N: 0.7309 0.2691 0.0810  5 Mn 2.07-2.15
N: 0.7309 0.2691 0.4190  5 Mn 2.07-2.15
N: 0.8488 0.1512 0.7500  2 Mn 1.88

Values from the calculation:
* density of states at the Fermi level: 0.3684 states/eV/atom
* formation energy (no corrections): -33.8 kJ/mol of atoms
* crystal system: orthorhombic
* symmetry: Cmcm, No. 63
* final energy: -190.48 eV for the cell shown


Record 2
Mg2BeCl6: optimized geometry, PBE.

Cell: 9.5299 9.5299 6.5543 Å, 107.26 107.26 93.41°
With the nearest neighbours (Å) after each atom.
Sites, in units of the cell vectors:
Mg: 0.1475 0.3180 0.4259  4 Cl 2.35-2.38
Mg: 0.3180 0.1475 0.9259  4 Cl 2.35-2.38
Mg: 0.6820 0.8525 0.0741  4 Cl 2.35-2.38
Mg: 0.8525 0.6820 0.5741  4 Cl 2.35-2.38
Be: 0.2807 0.7193 0.7500  4 Cl 2.04
Be: 0.7193 0.2807 0.2500  4 Cl 2.04
Cl: 0.0926 0.6924 0.8305  1 Be 2.04
Cl: 0.1331 0.2703 0.7523  2 Mg 2.35-2.37
Cl: 0.2703 0.1331 0.2523  2 Mg 2.35-2.37
Cl: 0.2813 0.5499 0.4731  1 Be 2.04
Cl: 0.3076 0.9074 0.6695  1 Be 2.04
Cl: 0.4501 0.7187 0.0269  1 Be 2.04
Cl: 0.5499 0.2813 0.9731  1 Be 2.04
Cl: 0.6924 0.0926 0.3305  1 Be 2.04
Cl: 0.7187 0.4501 0.5269  1 Be 2.04
Cl: 0.7297 0.8669 0.7477  2 Mg 2.35-2.37
Cl: 0.8669 0.7297 0.2477  2 Mg 2.35-2.37
Cl: 0.9074 0.3076 0.1695  1 Be 2.04

Values from the calculation:
* density of states at the Fermi level: 0.0000 states/eV/atom
* formation energy (no corrections): -160.2 kJ/mol of atoms
* crystal system: monoclinic
* symmetry: C2/c, No. 15
* final energy: -65.87 eV for the cell shown


Record 3
Ag3RhC: optimized geometry, PBE.

Cell: 5.0779 5.0779 5.0779 Å, 90.00 90.00 90.00°
With the nearest neighbours (Å) after each atom.
Sites, in units of the cell vectors:
Ag: 0.0000 0.0000 0.5000  2 Rh 2.54
Ag: 0.0000 0.5000 0.0000  2 Rh 2.54
Ag: 0.5000 0.0000 0.0000  2 Rh 2.54
Rh: 0.0000 0.0000 0.0000  6 Ag 2.54
C: 0.5000 0.5000 0.5000  12 Ag 3.59

Values from the calculation:
* density of states at the Fermi level: 1.2500 states/eV/atom
* crystal system: cubic
* symmetry: Pm-3m, No. 221
* final energy: -13.41 eV for the cell shown


Record 4
Ca3HgBi3: optimized geometry, PBE.

Cell: 6.7275 6.7275 15.2370 Å, 97.60 97.60 40.80°
With the nearest neighbours (Å) after each atom.
Sites, in units of the cell vectors:
Ca: 0.0550 0.0550 0.3914  2 Hg 3.30, 6 Bi 3.37-3.51, 1 Ca 3.69
Ca: 0.0849 0.0849 0.9138  5 Bi 3.31-3.39, 1 Ca 3.62
Ca: 0.2236 0.2236 0.2126  3 Bi 3.25-3.45, 2 Hg 3.36
Ca: 0.7764 0.7764 0.7874  3 Bi 3.25-3.45, 2 Hg 3.36
Ca: 0.9151 0.9151 0.0862  5 Bi 3.31-3.39, 1 Ca 3.62
Ca: 0.9450 0.9450 0.6086  2 Hg 3.30, 6 Bi 3.37-3.51, 1 Ca 3.69
Hg: 0.2655 0.2655 0.6287  4 Bi 3.06-3.41, 4 Ca 3.30-3.36
Hg: 0.7345 0.7345 0.3713  4 Bi 3.06-3.41, 4 Ca 3.30-3.36
Bi: 0.3556 0.3556 0.9290  5 Ca 3.25-3.39, 1 Bi 3.27
Bi: 0.3792 0.3792 0.4384  3 Hg 3.06-3.41, 1 Bi 3.35, 2 Ca 3.37
Bi: 0.4995 0.4995 0.2325  1 Bi 3.27, 5 Ca 3.31-3.45, 1 Hg 3.39
Bi: 0.5005 0.5005 0.7675  1 Bi 3.27, 5 Ca 3.31-3.45, 1 Hg 3.39
Bi: 0.6208 0.6208 0.5616  3 Hg 3.06-3.41, 1 Bi 3.35, 2 Ca 3.37
Bi: 0.6444 0.6444 0.0710  5 Ca 3.25-3.39, 1 Bi 3.27

Values from the calculation:
* density of states at the Fermi level: 0.2401 states/eV/atom
* crystal system: monoclinic
* symmetry: C2/m, No. 12
* final energy: -44.35 eV for the cell shown


Record 5
K3Nd3RuO8: optimized geometry, PBE.

Cell: 7.4899 7.4899 7.4899 Å, 55.92 55.92 55.92°
With the nearest neighbours (Å) after each atom.
Sites, in units of the cell vectors:
K: 0.0000 0.5000 0.5000  6 O 2.80-2.81
K: 0.5000 0.0000 0.5000  6 O 2.80-2.81
K: 0.5000 0.5000 0.0000  6 O 2.80-2.81
Nd: 0.0000 0.0000 0.5000  6 O 2.36-2.41
Nd: 0.0000 0.5000 0.0000  6 O 2.36-2.41
Nd: 0.5000 0.0000 0.0000  6 O 2.36-2.41
Ru: 0.5000 0.5000 0.5000  6 O 2.11
O: 0.2308 0.2308 0.2308  3 Nd 2.36
O: 0.2618 0.7065 0.7065  1 Ru 2.11
O: 0.2935 0.2935 0.7382  1 Ru 2.11
O: 0.2935 0.7382 0.2935  1 Ru 2.11
O: 0.7065 0.2618 0.7065  1 Ru 2.11
O: 0.7065 0.7065 0.2618  1 Ru 2.11
O: 0.7382 0.2935 0.2935  1 Ru 2.11
O: 0.7692 0.7692 0.7692  3 Nd 2.36

Values from the calculation:
* density of states at the Fermi level: 0.4141 states/eV/atom
* formation energy (no corrections): -215.4 kJ/mol of atoms
* crystal system: trigonal
* symmetry: R-3m, No. 166
* final energy: -100.02 eV for the cell shown


Record 6
BePtPb2: optimized geometry, PBE.

Cell: 5.9990 5.9990 5.9990 Å, 140.56 140.56 57.00°
With the nearest neighbours (Å) after each atom.
Sites, in units of the cell vectors:
Be: 0.0000 0.0000 0.0000  4 Pb 2.86
Pt: 0.7500 0.2500 0.5000  4 Pb 2.86
Pb: 0.2500 0.7500 0.5000  4 Pt 2.86
Pb: 0.5000 0.5000 0.0000  4 Be 2.86

Values from the calculation:
* density of states at the Fermi level: 0.6707 states/eV/atom
* crystal system: tetragonal
* symmetry: I-4m2, No. 119
* final energy: -15.41 eV for the cell shown


Record 7
CaTl2In2: optimized geometry, PBE.

Cell: 8.7517 8.7517 3.8663 Å, 90.00 90.00 90.00°
With the nearest neighbours (Å) after each atom.
Sites, in units of the cell vectors:
Ca: 0.0000 0.0000 0.0000  4 Tl 3.40
Ca: 0.5000 0.5000 0.0000  4 Tl 3.40
Tl: 0.1369 0.3631 0.0000  6 In 3.16-3.26, 1 Tl 3.39, 2 Ca 3.40
Tl: 0.3631 0.8631 0.0000  6 In 3.16-3.26, 1 Tl 3.39, 2 Ca 3.40
Tl: 0.6369 0.1369 0.0000  6 In 3.16-3.26, 1 Tl 3.39, 2 Ca 3.40
Tl: 0.8631 0.6369 0.0000  6 In 3.16-3.26, 1 Tl 3.39, 2 Ca 3.40
In: 0.1616 0.6616 0.5000  6 Tl 3.16-3.26
In: 0.3384 0.1616 0.5000  6 Tl 3.16-3.26
In: 0.6616 0.8384 0.5000  6 Tl 3.16-3.26
In: 0.8384 0.3384 0.5000  6 Tl 3.16-3.26

Values from the calculation:
* density of states at the Fermi level: 0.6276 states/eV/atom
* crystal system: tetragonal
* symmetry: P4/mbm, No. 127
* final energy: -25.40 eV for the cell shown


Record 8
Pm3HgGe3: optimized geometry, PBE.

Cell: 8.8770 8.8770 5.9953 Å, 90.00 90.00 120.00°
With the nearest neighbours (Å) after each atom.
Sites, in units of the cell vectors:
Pm: 0.0491 0.6891 0.2500  5 Ge 2.93-3.06
Pm: 0.3109 0.3601 0.2500  5 Ge 2.93-3.06
Pm: 0.3601 0.0491 0.7500  5 Ge 2.93-3.06
Pm: 0.6399 0.9509 0.2500  5 Ge 2.93-3.06
Pm: 0.6891 0.6399 0.7500  5 Ge 2.93-3.06
Pm: 0.9509 0.3109 0.7500  5 Ge 2.93-3.06
Hg: 0.3333 0.6667 0.7500  3 Ge 2.71
Hg: 0.6667 0.3333 0.2500  3 Ge 2.71
Ge: 0.0419 0.6922 0.7500  1 Hg 2.71, 4 Pm 2.93-3.01
Ge: 0.3078 0.3497 0.7500  1 Hg 2.71, 4 Pm 2.93-3.01
Ge: 0.3497 0.0419 0.2500  1 Hg 2.71, 4 Pm 2.93-3.01
Ge: 0.6503 0.9581 0.7500  1 Hg 2.71, 4 Pm 2.93-3.01
Ge: 0.6922 0.6503 0.2500  1 Hg 2.71, 4 Pm 2.93-3.01
Ge: 0.9581 0.3078 0.2500  1 Hg 2.71, 4 Pm 2.93-3.01

Values from the calculation:
* density of states at the Fermi level: 0.6304 states/eV/atom
* crystal system: hexagonal
* symmetry: P6_3/m, No. 176
* final energy: -64.21 eV for the cell shown


Record 9
TiPd7Pt4: optimized geometry, PBE.

Cell: 5.4520 5.4520 9.7765 Å, 116.01 116.01 52.00°
With the nearest neighbours (Å) after each atom.
Sites, in units of the cell vectors:
Ti: 0.0000 0.0000 0.0000  4 Pd 2.37-2.39
Pd: 0.1153 0.1153 0.4567  5 Pt 2.68-2.78, 4 Pd 2.69-2.79
Pd: 0.2703 0.2703 0.0772  1 Ti 2.37
Pd: 0.3443 0.3443 0.3798  5 Pd 2.68-2.80, 4 Pt 2.74-2.79
Pd: 0.5000 0.5000 0.0000  2 Ti 2.39
Pd: 0.6557 0.6557 0.6202  5 Pd 2.68-2.80, 4 Pt 2.74-2.79
Pd: 0.7297 0.7297 0.9228  1 Ti 2.37
Pd: 0.8847 0.8847 0.5433  5 Pt 2.68-2.78, 4 Pd 2.69-2.79
Pt: 0.1856 0.1856 0.7685  8 Pd 2.68-2.80, 1 Pt 2.72
Pt: 0.4195 0.4195 0.6943  7 Pd 2.69-2.79, 1 Pt 2.72
Pt: 0.5805 0.5805 0.3057  7 Pd 2.69-2.79, 1 Pt 2.72
Pt: 0.8144 0.8144 0.2315  8 Pd 2.68-2.80, 1 Pt 2.72

Values from the calculation:
* density of states at the Fermi level: 1.3020 states/eV/atom
* crystal system: monoclinic
* symmetry: C2/m, No. 12
* final energy: -67.54 eV for the cell shown


Record 10
PrNd2Er6: optimized geometry, PBE.

Cell: 10.6961 10.6961 5.0585 Å, 90.00 90.00 90.00°
With the nearest neighbours (Å) after each atom.
Sites, in units of the cell vectors:
Pr: 0.0000 0.0000 0.0000  4 Nd 3.58, 8 Er 3.59
Pr: 0.5000 0.5000 0.5000  4 Nd 3.58, 8 Er 3.59
Nd: 0.1679 0.1679 0.5000  10 Er 3.54-3.59, 2 Pr 3.58
Nd: 0.3321 0.6679 0.0000  10 Er 3.54-3.59, 2 Pr 3.58
Nd: 0.6679 0.3321 0.0000  10 Er 3.54-3.59, 2 Pr 3.58
Nd: 0.8321 0.8321 0.5000  10 Er 3.54-3.59, 2 Pr 3.58
Er: 0.0011 0.3356 0.0000  8 Er 3.52-3.59, 3 Nd 3.57-3.58, 1 Pr 3.59
Er: 0.1644 0.5011 0.5000  8 Er 3.52-3.59, 3 Nd 3.57-3.58, 1 Pr 3.59
Er: 0.1681 0.8319 0.5000  6 Er 3.54-3.59, 4 Nd 3.54-3.59, 2 Pr 3.59
Er: 0.3319 0.3319 0.0000  6 Er 3.54-3.59, 4 Nd 3.54-3.59, 2 Pr 3.59
Er: 0.3356 0.0011 0.0000  8 Er 3.52-3.59, 3 Nd 3.57-3.58, 1 Pr 3.59
Er: 0.4989 0.8356 0.5000  8 Er 3.52-3.59, 3 Nd 3.57-3.58, 1 Pr 3.59
Er: 0.5011 0.1644 0.5000  8 Er 3.52-3.59, 3 Nd 3.57-3.58, 1 Pr 3.59
Er: 0.6644 0.9989 0.0000  8 Er 3.52-3.59, 3 Nd 3.57-3.58, 1 Pr 3.59
Er: 0.6681 0.6681 0.0000  6 Er 3.54-3.59, 4 Nd 3.54-3.59, 2 Pr 3.59
Er: 0.8319 0.1681 0.5000  6 Er 3.54-3.59, 4 Nd 3.54-3.59, 2 Pr 3.59
Er: 0.8356 0.4989 0.5000  8 Er 3.52-3.59, 3 Nd 3.57-3.58, 1 Pr 3.59
Er: 0.9989 0.6644 0.0000  8 Er 3.52-3.59, 3 Nd 3.57-3.58, 1 Pr 3.59

Values from the calculation:
* density of states at the Fermi level: 1.3202 states/eV/atom
* crystal system: tetragonal
* symmetry: P4_2/mnm, No. 136
* final energy: -82.93 eV for the cell shown


Record 11
Dy2PuU3P6: optimized geometry, PBE.

Cell: 6.8378 6.8378 6.9489 Å, 99.43 99.43 120.03°
With the nearest neighbours (Å) after each atom.
Sites, in units of the cell vectors:
Dy: 0.1665 0.8335 0.0000  6 P 2.83
Dy: 0.8335 0.1665 0.0000  6 P 2.83
Pu: 0.5000 0.5000 0.0000  6 P 2.82
U: 0.0000 0.0000 0.5000  6 P 2.79-2.80
U: 0.3323 0.6677 0.5000  6 P 2.78-2.79
U: 0.6677 0.3323 0.5000  6 P 2.78-2.79
P: 0.0833 0.4152 0.7450  3 U 2.78-2.79, 1 Pu 2.82, 2 Dy 2.83
P: 0.2536 0.2536 0.2555  3 U 2.79-2.80, 1 Pu 2.82, 2 Dy 2.83
P: 0.4152 0.0833 0.7450  3 U 2.78-2.79, 1 Pu 2.82, 2 Dy 2.83
P: 0.5848 0.9167 0.2550  3 U 2.78-2.79, 1 Pu 2.82, 2 Dy 2.83
P: 0.7464 0.7464 0.7445  3 U 2.79-2.80, 1 Pu 2.82, 2 Dy 2.83
P: 0.9167 0.5848 0.2550  3 U 2.78-2.79, 1 Pu 2.82, 2 Dy 2.83

Values from the calculation:
* density of states at the Fermi level: 2.0679 states/eV/atom
* crystal system: monoclinic
* symmetry: C2/m, No. 12
* final energy: -104.48 eV for the cell shown


Record 12
PIrW: optimized geometry, PBE.

Cell: 5.3163 5.3163 5.3163 Å, 147.86 147.86 46.09°
With the nearest neighbours (Å) after each atom.
Sites, in units of the cell vectors:
P: 0.0000 0.0000 0.0000  4 W 2.49, 4 Ir 2.64
Ir: 0.3338 0.3338 0.0000  4 P 2.64, 4 W 2.82, 4 Ir 2.94
W: 0.6392 0.6392 0.0000  4 P 2.49

Values from the calculation:
* density of states at the Fermi level: 0.4898 states/eV/atom
* crystal system: tetragonal
* symmetry: I4mm, No. 107
* final energy: -27.66 eV for the cell shown


- Look up the final energy of the fifth one.
  -100.02 eV for the cell shown


- Which of these has the lowest density of states at the Fermi level?
  Mg2BeCl6


- Which of these has the lowest density of states at the Fermi level?
  Mg2BeCl6